[1]
## Ac6SmY5 (PBE)

Data for Ac6SmY5 after structural relaxation.

Summary:
Total magnetic moment, μB per formula unit: 0.00
E_form, eV per formula unit: 0.47

a b c (Å): 5.491 10.138 10.052
angles (deg): 120.28 105.91 90.00
Positions (direct):
Y (0.667, 0.667, 0.335)
Y (0.333, 0.333, 0.665)
Y (0.000, 0.500, 0.000)
Y (0.333, 0.833, 0.667)
Y (0.667, 0.167, 0.333)
Ac (0.500, 0.748, 0.000)
Ac (0.833, 0.084, 0.667)
Ac (0.167, 0.417, 0.333)
Ac (0.500, 0.252, 0.000)
Ac (0.167, 0.916, 0.333)
Ac (0.833, 0.583, 0.667)
Sm (0.000, 0.000, 0.000)



[2]
## Ac2Sm5Y3 (PBE)

Data for Ac2Sm5Y3 after structural relaxation.

Summary:
Total magnetic moment, μB per formula unit: 0.00
E_form, eV per formula unit: 2.16

a b c (Å): 11.487 10.348 11.865
angles (deg): 132.43 134.35 60.47
Positions (direct):
Y (0.289, 0.534, 0.746)
Y (0.957, 0.212, 0.746)
Y (0.232, 0.982, 0.963)
Y (0.768, 0.018, 0.037)
Y (0.711, 0.466, 0.254)
Y (0.043, 0.788, 0.254)
Ac (0.562, 0.237, 0.253)
Ac (0.438, 0.763, 0.747)
Ac (0.191, 0.016, 0.253)
Ac (0.809, 0.984, 0.747)
Sm (0.251, 0.501, 0.001)
Sm (0.182, 0.413, 0.245)
Sm (0.563, 0.833, 0.245)
Sm (0.992, 0.742, 0.484)
Sm (0.527, 0.277, 0.555)
Sm (0.437, 0.167, 0.755)
Sm (0.008, 0.258, 0.516)
Sm (0.818, 0.587, 0.755)
Sm (0.749, 0.499, 0.999)
Sm (0.473, 0.723, 0.445)



[3]
## AcSm12Y7 (PBE)

Data for AcSm12Y7 after structural relaxation.

Summary:
Total magnetic moment, μB per formula unit: 0.00
Polymorph energy (0 for the lowest one), meV/atom: 0
E_form, eV per formula unit: 4.23

a b c (Å): 8.830 8.830 8.830
angles (deg): 88.77 88.77 88.77
Positions (direct):
Sm (0.721, 0.274, 0.140)
Sm (0.624, 0.141, 0.496)
Sm (0.376, 0.859, 0.504)
Sm (0.504, 0.376, 0.859)
Sm (0.140, 0.721, 0.274)
Sm (0.141, 0.496, 0.624)
Sm (0.274, 0.140, 0.721)
Sm (0.726, 0.860, 0.279)
Sm (0.279, 0.726, 0.860)
Sm (0.496, 0.624, 0.141)
Sm (0.860, 0.279, 0.726)
Sm (0.859, 0.504, 0.376)
Y (0.612, 0.940, 0.844)
Y (0.156, 0.388, 0.060)
Y (0.844, 0.612, 0.940)
Y (0.060, 0.156, 0.388)
Y (0.940, 0.844, 0.612)
Y (0.388, 0.060, 0.156)
Y (0.500, 0.500, 0.500)
Ac (0.000, 0.000, 0.000)



[4]
## Ac8Sm3Y (PBE)

Data for Ac8Sm3Y after structural relaxation.

Summary:
Total magnetic moment, μB per formula unit: 0.00
E_form, eV per formula unit: 0.64

a b c (Å): 6.742 9.238 9.237
angles (deg): 85.23 111.69 111.69
Positions (direct):
Ac (0.822, 0.081, 0.081)
Ac (0.492, 0.243, 0.243)
Ac (0.839, 0.172, 0.670)
Ac (0.159, 0.508, 0.994)
Ac (0.507, 0.746, 0.746)
Ac (0.159, 0.994, 0.508)
Ac (0.182, 0.422, 0.422)
Ac (0.839, 0.670, 0.172)
Sm (0.829, 0.585, 0.585)
Sm (0.499, 0.329, 0.832)
Sm (0.499, 0.832, 0.329)
Y (0.173, 0.917, 0.917)



[5]
## AcSm6Y (PBE)

Data for AcSm6Y after structural relaxation.

Summary:
Total magnetic moment, μB per formula unit: 0.00
Polymorph energy (0 for the lowest one), meV/atom: 0
E_form, eV per formula unit: 0.24

a b c (Å): 5.190 6.350 9.719
angles (deg): 77.43 74.50 65.88
Positions (direct):
Sm (0.752, 0.127, 0.370)
Sm (0.499, 0.758, 0.244)
Sm (0.749, 0.623, 0.879)
Sm (0.251, 0.377, 0.121)
Sm (0.501, 0.242, 0.756)
Sm (0.248, 0.873, 0.630)
Y (0.000, 0.000, 0.000)
Ac (0.000, 0.500, 0.500)



[6]
## AcSm4Y2 (PBE)

Data for AcSm4Y2 after structural relaxation.

Summary:
Total magnetic moment, μB per formula unit: 0.00
Polymorph energy (0 for the lowest one), meV/atom: 0
E_form, eV per formula unit: 0.91

a b c (Å): 6.310 6.720 11.923
angles (deg): 90.00 105.34 90.00
Positions (direct):
Ac (0.835, 0.250, 0.856)
Ac (0.165, 0.750, 0.144)
Sm (0.342, 0.001, 0.710)
Sm (0.002, 0.750, 0.837)
Sm (0.342, 0.499, 0.710)
Sm (0.856, 0.250, 0.557)
Sm (0.658, 0.999, 0.290)
Sm (0.998, 0.250, 0.163)
Sm (0.144, 0.750, 0.443)
Sm (0.658, 0.501, 0.290)
Y (0.593, 0.750, 0.987)
Y (0.697, 0.750, 0.559)
Y (0.303, 0.250, 0.441)
Y (0.407, 0.250, 0.013)